Computed, not measured: crystalline SrVO3 at its relaxed geometry at the PBE+U level of DFT.

Cell lengths 10.242, 10.242, 10.242 Å; angles 90.00, 90.00, 90.00 degrees
Space group Fd-3m (No. 227, origin choice 2)
One atom of each set of equivalent atoms:
Sr  0.000  0.000  0.000 x16
V  0.000  0.000  0.500 x16
O  0.075  0.375  0.875 x48

Values from the calculation:
DFT total energy   -6.98 eV per atom
Total magnetic moment   0.892 μB/f.u.